DFT (PBE) results for a geometry-optimized Nd2In3Rh4 structure.

```
data_Nd2In3Rh4
_cell_length_a 5.974
_cell_length_b 7.264
_cell_length_c 9.041
_cell_angle_alpha 90.00
_cell_angle_beta 109.29
_cell_angle_gamma 90.00
_symmetry_space_group_name_H-M 'P 1'
_symmetry_Int_Tables_number 1
_symmetry_space_group_name_Hall 'P 1'
loop_
_atom_site_label
_atom_site_type_symbol
_atom_site_fract_x
_atom_site_fract_y
_atom_site_fract_z
Nd1 Nd 0.102 0.583 0.204
Nd2 Nd 0.898 0.417 0.796
Nd3 Nd 0.398 0.083 0.796
Nd4 Nd 0.602 0.917 0.204
In1 In 0.000 0.000 0.000
In2 In 0.500 0.500 0.000
In3 In 0.515 0.750 0.530
In4 In 0.985 0.250 0.470
In5 In 0.485 0.250 0.470
In6 In 0.015 0.750 0.530
Rh1 Rh 0.675 0.750 0.850
Rh2 Rh 0.825 0.250 0.150
Rh3 Rh 0.325 0.250 0.150
Rh4 Rh 0.175 0.750 0.850
Rh5 Rh 0.164 0.972 0.329
Rh6 Rh 0.836 0.028 0.671
Rh7 Rh 0.336 0.472 0.671
Rh8 Rh 0.664 0.528 0.329
```

Values from the calculation:
The volume is 20.57 A^3/atom. Its symmetry is Cmce (64). The value obtained for the energy relative to the elements is -5.474 eV per formula unit. Its density is 9369 kg/m³. For the total energy, the calculation gives -105.26 eV/cell.